# 1
# NbTlIn3, relaxed, DFT GGA-PBE
# * ΔE_f: 0.431 eV per atom
# * energy relative to the lowest polymorph listed for this composition: 0 meV per atom
data_NbTlIn3
_space_group_name_H-M_alt 'P m -3 m'
_space_group_IT_number 221
_space_group_name_Hall '-P 4 2 3'
_cell_length_a 5.4677
_cell_length_b 5.4677
_cell_length_c 5.4677
_cell_angle_alpha 90.00
_cell_angle_beta 90.00
_cell_angle_gamma 90.00
loop_
_atom_site_label
_atom_site_type_symbol
_atom_site_fract_x
_atom_site_fract_y
_atom_site_fract_z
Nb1 Nb 0.0000 0.0000 0.0000
Tl1 Tl 0.5000 0.5000 0.5000
In1 In 0.0000 0.0000 0.5000



# 2
# TlAgC, relaxed, DFT GGA-PBE
# * ΔE_f: 0.652 eV per atom
data_TlAgC
_space_group_name_H-M_alt 'P 1'
_space_group_IT_number 1
_cell_length_a 2.7276
_cell_length_b 5.9821
_cell_length_c 8.0385
_cell_angle_alpha 89.30
_cell_angle_beta 81.46
_cell_angle_gamma 86.66
loop_
_space_group_symop_operation_xyz
'x,y,z'
loop_
_atom_site_label
_atom_site_type_symbol
_atom_site_fract_x
_atom_site_fract_y
_atom_site_fract_z
Tl1 Tl 0.0000 0.0000 0.0000
Tl2 Tl 0.2236 0.4986 0.5267
Ag1 Ag 0.5440 0.4987 0.8700
Ag2 Ag 0.8998 0.5015 0.1832
C1 C 0.3325 0.9997 0.5034
C2 C 0.8337 0.9986 0.5027



# 3
# CsZr2Mo2, relaxed, DFT GGA-PBE
# * ΔE_f: 0.882 eV per atom
data_CsZr2Mo2
_space_group_name_H-M_alt 'I 4/m m m'
_space_group_IT_number 139
_space_group_name_Hall '-I 4 2'
_cell_length_a 3.7870
_cell_length_b 3.7870
_cell_length_c 21.8444
_cell_angle_alpha 90.00
_cell_angle_beta 90.00
_cell_angle_gamma 90.00
loop_
_atom_site_label
_atom_site_type_symbol
_atom_site_fract_x
_atom_site_fract_y
_atom_site_fract_z
Cs1 Cs 0.0000 0.0000 0.0000
Zr1 Zr 0.0000 0.0000 0.3444
Mo1 Mo 0.0000 0.5000 0.2500



# 4
# Tm12GaSn6, relaxed, DFT GGA-PBE
# * ΔE_f: -0.331 eV per atom
data_Tm12GaSn6
_space_group_name_H-M_alt 'R -3'
_space_group_IT_number 148
_space_group_name_Hall '-R 3'
_cell_length_a 13.2063
_cell_length_b 13.2063
_cell_length_c 11.9925
_cell_angle_alpha 90.00
_cell_angle_beta 90.00
_cell_angle_gamma 120.00
loop_
_atom_site_label
_atom_site_type_symbol
_atom_site_fract_x
_atom_site_fract_y
_atom_site_fract_z
Tm1 Tm 0.0323 0.8309 0.3918
Tm2 Tm 0.0546 0.8457 0.8901
Ga1 Ga 0.0000 0.0000 0.0000
Sn1 Sn 0.0453 0.7751 0.6493



# 5
# NaCuAsO4, relaxed, DFT GGA-PBE
# * formation energy (no corrections): -1.0883 eV per atom
# * energy relative to the lowest polymorph listed for this composition: 111 meV per atom
data_NaCuAsO4
_space_group_name_H-M_alt 'P 1 21/m 1'
_space_group_IT_number 11
_cell_length_a 5.4347
_cell_length_b 5.7387
_cell_length_c 6.3201
_cell_angle_alpha 90.00
_cell_angle_beta 104.42
_cell_angle_gamma 90.00
loop_
_space_group_symop_operation_xyz
'x,y,z'
'-x,-y,-z'
'-x,y+1/2,-z'
'x,-y+1/2,z'
loop_
_atom_site_label
_atom_site_type_symbol
_atom_site_fract_x
_atom_site_fract_y
_atom_site_fract_z
Na1 Na 0.2375 0.2500 0.4438
Cu1 Cu 0.2837 0.2500 0.9641
As1 As 0.2308 0.7500 0.1633
O1 O 0.0079 0.7500 0.3165
O2 O 0.0202 0.7500 0.9081
O3 O 0.4407 0.5175 0.2080



# 6
# Ba2IBr2, relaxed, DFT GGA-PBE
# * formation energy (no corrections): -1.7108 eV per atom
# * energy relative to the lowest polymorph listed for this composition: 42 meV per atom
data_Ba2IBr2
_space_group_name_H-M_alt 'C 1 2/c 1'
_space_group_IT_number 15
_cell_length_a 9.2087
_cell_length_b 12.3941
_cell_length_c 9.5642
_cell_angle_alpha 90.00
_cell_angle_beta 118.60
_cell_angle_gamma 90.00
loop_
_space_group_symop_operation_xyz
'x,y,z'
'-x,-y,-z'
'-x,y,-z+1/2'
'x,-y,z+1/2'
'x+1/2,y+1/2,z'
'-x+1/2,-y+1/2,-z'
'-x+1/2,y+1/2,-z+1/2'
'x+1/2,-y+1/2,z+1/2'
loop_
_atom_site_label
_atom_site_type_symbol
_atom_site_fract_x
_atom_site_fract_y
_atom_site_fract_z
Ba1 Ba 0.0000 0.0962 0.2500
Ba2 Ba 0.0000 0.3457 0.7500
I1 I 0.0000 0.3752 0.2500
Br1 Br 0.1133 0.1247 0.9750



# 7
# Ta2TiRh2, relaxed, DFT GGA-PBE
# * ΔE_f: -0.233 eV per atom
# * energy relative to the lowest polymorph listed for this composition: 66 meV per atom
data_Ta2TiRh2
_space_group_name_H-M_alt 'P 4/m b m'
_space_group_IT_number 127
_space_group_name_Hall '-P 4 2ab'
_cell_length_a 7.6933
_cell_length_b 7.6933
_cell_length_c 2.8868
_cell_angle_alpha 90.00
_cell_angle_beta 90.00
_cell_angle_gamma 90.00
loop_
_atom_site_label
_atom_site_type_symbol
_atom_site_fract_x
_atom_site_fract_y
_atom_site_fract_z
Ta1 Ta 0.1565 0.3435 0.0000
Ti1 Ti 0.0000 0.0000 0.0000
Rh1 Rh 0.1403 0.6403 0.5000



# 8
# La2AgHgTe, relaxed, DFT GGA-PBE
# * formation energy (no corrections): -0.0303 eV per atom
data_La2AgHgTe
_space_group_name_H-M_alt 'P 4/m m m'
_space_group_IT_number 123
_space_group_name_Hall '-P 4 2'
_cell_length_a 5.8034
_cell_length_b 5.8034
_cell_length_c 5.3195
_cell_angle_alpha 90.00
_cell_angle_beta 90.00
_cell_angle_gamma 90.00
loop_
_atom_site_label
_atom_site_type_symbol
_atom_site_fract_x
_atom_site_fract_y
_atom_site_fract_z
La1 La 0.0000 0.5000 0.0000
Ag1 Ag 0.0000 0.0000 0.0000
Hg1 Hg 0.5000 0.5000 0.5000
Te1 Te 0.0000 0.0000 0.5000



# 9
# Sr2Al4AgAu3, relaxed, DFT GGA-PBE
# * ΔE_f: -0.563 eV per atom
data_Sr2Al4AgAu3
_space_group_name_H-M_alt 'P -4 m 2'
_space_group_IT_number 115
_cell_length_a 4.4926
_cell_length_b 4.4926
_cell_length_c 10.7840
_cell_angle_alpha 90.00
_cell_angle_beta 90.00
_cell_angle_gamma 90.00
loop_
_space_group_symop_operation_xyz
'x,y,z'
'y,-x,-z'
'-x,-y,z'
'-y,x,-z'
'-x,y,z'
'-y,-x,-z'
'x,-y,z'
'y,x,-z'
loop_
_atom_site_label
_atom_site_type_symbol
_atom_site_fract_x
_atom_site_fract_y
_atom_site_fract_z
Sr1 Sr 0.0000 0.5000 0.2485
Al1 Al 0.0000 0.0000 0.0000
Al2 Al 0.0000 0.5000 0.6289
Al3 Al 0.5000 0.5000 0.0000
Ag1 Ag 0.0000 0.0000 0.5000
Au1 Au 0.0000 0.5000 0.8701
Au2 Au 0.5000 0.5000 0.5000



# 10
# AcZn3PtRh, relaxed, DFT GGA-PBE
# * ΔE_f: -0.438 eV per atom
data_AcZn3PtRh
_space_group_name_H-M_alt 'C m c m'
_space_group_IT_number 63
_space_group_name_Hall '-C 2c 2'
_cell_length_a 6.6200
_cell_length_b 12.9359
_cell_length_c 5.5601
_cell_angle_alpha 90.00
_cell_angle_beta 90.00
_cell_angle_gamma 90.00
loop_
_atom_site_label
_atom_site_type_symbol
_atom_site_fract_x
_atom_site_fract_y
_atom_site_fract_z
Ac1 Ac 0.0000 0.2222 0.2500
Zn1 Zn 0.0000 0.3512 0.7500
Zn2 Zn 0.1928 0.0000 0.0000
Pt1 Pt 0.0000 0.4484 0.2500
Rh1 Rh 0.0000 0.1485 0.7500



# 11
# DyTm3Tl2, relaxed, DFT GGA-PBE
# * ΔE_f: -0.178 eV per atom
# * energy relative to the lowest polymorph listed for this composition: 80 meV per atom
data_DyTm3Tl2
_space_group_name_H-M_alt 'C m m m'
_space_group_IT_number 65
_space_group_name_Hall '-C 2 2'
_cell_length_a 4.8445
_cell_length_b 15.4000
_cell_length_c 4.4590
_cell_angle_alpha 90.00
_cell_angle_beta 90.00
_cell_angle_gamma 90.00
loop_
_atom_site_label
_atom_site_type_symbol
_atom_site_fract_x
_atom_site_fract_y
_atom_site_fract_z
Dy1 Dy 0.0000 0.0000 0.0000
Tm1 Tm 0.0000 0.1722 0.5000
Tm2 Tm 0.0000 0.5000 0.5000
Tl1 Tl 0.0000 0.3467 0.0000



# 12
# AgB, relaxed, DFT GGA-PBE
# * ΔE_f: 1.502 eV per atom
# * energy relative to the lowest polymorph listed for this composition: 1125 meV per atom
data_AgB
_space_group_name_H-M_alt 'P m -3 n'
_space_group_IT_number 223
_space_group_name_Hall '-P 4n 2 3'
_cell_length_a 6.1698
_cell_length_b 6.1698
_cell_length_c 6.1698
_cell_angle_alpha 90.00
_cell_angle_beta 90.00
_cell_angle_gamma 90.00
loop_
_atom_site_label
_atom_site_type_symbol
_atom_site_fract_x
_atom_site_fract_y
_atom_site_fract_z
Ag1 Ag 0.0000 0.2500 0.5000
B1 B 0.0000 0.5000 0.2500